# CuMo2Ir (GGA-PBE, optimized geometry)
data_CuMo2Ir
_symmetry_space_group_name_H-M 'I -4 m 2'
_symmetry_Int_Tables_number 119
_symmetry_space_group_name_Hall 'I -4 -2'
_cell_length_a 3.885
_cell_length_b 3.885
_cell_length_c 7.780
_cell_angle_alpha 90.00
_cell_angle_beta 90.00
_cell_angle_gamma 90.00
loop_
_atom_site_label
_atom_site_type_symbol
_atom_site_fract_x
_atom_site_fract_y
_atom_site_fract_z
_atom_site_occupancy
Cu1 Cu 0.000 0.000 0.000 1
Mo1 Mo 0.000 0.000 0.500 1
Mo2 Mo 0.000 0.500 0.750 1
Ir1 Ir 0.000 0.500 0.250 1
# ΔE to the lowest computed polymorph = 13.9 kJ per mole of atoms
# ΔH_f (0 K) = 0.106 eV/atom